Material: CeVAs2O
Method: DFT, PBE with a Hubbard U
State: optimized geometry

abc: 3.800 3.800 12.849
angles: 90.00 90.00 90.00
Positions (direct):
Ce: 0.250 0.250 0.102
Ce: 0.750 0.750 0.898
V: 0.250 0.250 0.583
V: 0.750 0.750 0.417
As: 0.250 0.250 0.386
As: 0.250 0.250 0.779
As: 0.750 0.750 0.221
As: 0.750 0.750 0.614
O: 0.250 0.750 0.000
O: 0.750 0.250 0.000

Computed properties:
Total energy = -66.89 eV for the cell shown